1.
## Rb2PuTlI5 (PBE-GGA)

Data for a relaxed Rb2PuTlI5 crystal.

Summary:
Total energy: -4.00 eV/atom
Calculated volume: 54.1 Å³/atom

a b c (Å): 6.1094 6.1094 13.0483
angles (deg): 90.00 90.00 90.00
Space group P4/mmm (No. 123)
Unique sites:
1 Rb 0.0000 0.0000 0.2181 [2 per cell]
2 Pu 0.5000 0.5000 0.0000 [1 per cell]
3 Tl 0.5000 0.5000 0.5000 [1 per cell]
4 I 0.0000 0.0000 0.5000 [1 per cell]
5 I 0.0000 0.5000 0.0000 [2 per cell]
6 I 0.5000 0.5000 0.2436 [2 per cell]



2.
## RbTmPuI6 (PBE-GGA)

Data for a relaxed RbTmPuI6 crystal.

Summary:
Total energy: -4.52 eV/atom
Calculated volume: 50.6 Å³/atom

a b c (Å): 7.9981 7.9981 16.4468
angles (deg): 90.00 90.00 120.00
Space group P-31c (No. 163)
Unique sites:
1 Rb 0.0000 0.0000 0.0000 [2 per cell]
2 Tm 0.3333 0.6667 0.2500 [2 per cell]
3 Pu 0.3333 0.6667 0.7500 [2 per cell]
4 I 0.0176 0.3747 0.1413 [12 per cell]



ΔE_f (raw) for every record listed, in sequence, given in eV/f.u.: -9.60; -11.57.